[1]
Compound: PrNd2Dy6Y2
Source: Alexandria via LeMat-Bulk
Functional: PBE
Structure: optimized geometry

abc: 6.6699 6.6699 10.7703
angles: 90.06 90.06 129.56
Last column: nearest neighbours and their distance in Å.
Sites, in units of the cell vectors:
Pr 0.0000 0.0000 0.0000  8 Dy 3.61-3.68, 6 Y 3.65-3.71
Nd 0.3637 0.6363 0.5000  1 Nd 3.29, 8 Dy 3.41-3.66
Nd 0.6363 0.3637 0.5000  1 Nd 3.29, 8 Dy 3.41-3.66
Dy 0.1526 0.8446 0.2875  3 Nd 3.41-3.66, 5 Dy 3.48-3.72, 1 Y 3.58, 1 Pr 3.61
Dy 0.1554 0.8474 0.7125  3 Nd 3.41-3.66, 5 Dy 3.48-3.72, 1 Y 3.58, 1 Pr 3.61
Dy 0.4984 0.4984 0.2150  2 Y 3.33, 2 Nd 3.48, 4 Dy 3.48-3.49, 2 Pr 3.65-3.68
Dy 0.5016 0.5016 0.7850  2 Y 3.33, 2 Nd 3.48, 4 Dy 3.48-3.49, 2 Pr 3.65-3.68
Dy 0.8446 0.1526 0.2875  3 Nd 3.41-3.66, 5 Dy 3.48-3.72, 1 Y 3.58, 1 Pr 3.61
Dy 0.8474 0.1554 0.7125  3 Nd 3.41-3.66, 5 Dy 3.48-3.72, 1 Y 3.58, 1 Pr 3.61
Y 0.3023 0.6977 0.0000  2 Y 3.11, 2 Dy 3.33
Y 0.6977 0.3023 0.0000  2 Y 3.11, 2 Dy 3.33

## Properties
symmetry	No. 12
formation energy from the elements	0.1606	eV per atom

---

[2]
Compound: PrNdDy5Y2
Source: Alexandria via LeMat-Bulk
Functional: PBE
Structure: optimized geometry

abc: 9.8038 9.8038 9.8038
angles: 125.99 125.99 79.91
Last column: nearest neighbours and their distance in Å.
Sites, in units of the cell vectors:
Pr 0.2500 0.2500 0.0000  10 Dy 3.64-3.76
Pr 0.7500 0.7500 0.0000  10 Dy 3.64-3.76
Nd 0.2500 0.7500 0.5000  4 Dy 3.10
Nd 0.7500 0.2500 0.5000  4 Dy 3.10
Dy 0.0000 0.0000 0.0000  4 Y 3.58, 2 Pr 3.76, 8 Dy 3.78
Dy 0.0700 0.5700 0.9082  1 Y 3.04, 1 Nd 3.10
Dy 0.1618 0.0700 0.5000  1 Y 3.04, 1 Nd 3.10
Dy 0.3382 0.8382 0.9082  1 Y 3.04, 1 Nd 3.10
Dy 0.4300 0.3382 0.5000  1 Y 3.04, 1 Nd 3.10
Dy 0.5000 0.5000 0.0000  4 Y 3.58, 2 Pr 3.76, 8 Dy 3.78
Dy 0.5700 0.6618 0.5000  1 Y 3.04, 1 Nd 3.10
Dy 0.6618 0.1618 0.0918  1 Y 3.04, 1 Nd 3.10
Dy 0.8382 0.9300 0.5000  1 Y 3.04, 1 Nd 3.10
Dy 0.9300 0.4300 0.0918  1 Y 3.04, 1 Nd 3.10
Y 0.1152 0.3848 0.5000  1 Y 2.90, 2 Dy 3.04
Y 0.3848 0.8848 0.2696  1 Y 2.90, 2 Dy 3.04
Y 0.6152 0.1152 0.7304  1 Y 2.90, 2 Dy 3.04
Y 0.8848 0.6152 0.5000  1 Y 2.90, 2 Dy 3.04

## Properties
symmetry	No. 140
formation energy from the elements	0.2869	eV per atom

---

[3]
Compound: Pr2NdDy2Y
Source: Alexandria via LeMat-Bulk
Functional: PBE
Structure: optimized geometry

abc: 7.1217 5.7288 9.9166
angles: 90.00 90.00 90.00
Last column: nearest neighbours and their distance in Å.
Sites, in units of the cell vectors:
Pr 0.0000 0.0000 0.0000  6 Pr 3.56-3.79, 6 Dy 3.74-3.75, 2 Nd 3.81
Pr 0.2500 0.5000 0.1751  5 Dy 3.26-3.56
Pr 0.5000 0.0000 0.0000  6 Pr 3.56-3.79, 6 Dy 3.74-3.75, 2 Nd 3.81
Pr 0.7500 0.5000 0.8249  5 Dy 3.26-3.56
Nd 0.2500 0.0000 0.6598  5 Dy 3.25-3.56
Nd 0.7500 0.0000 0.3402  5 Dy 3.25-3.56
Dy 0.2500 0.0000 0.3318  3 Nd 3.25-3.56, 2 Pr 3.26
Dy 0.2500 0.5000 0.8354  2 Nd 3.35, 7 Pr 3.37-3.75
Dy 0.7500 0.0000 0.6682  3 Nd 3.25-3.56, 2 Pr 3.26
Dy 0.7500 0.5000 0.1646  2 Nd 3.35, 7 Pr 3.37-3.75
Y 0.0000 0.5000 0.5000  2 Y 3.56, 2 Pr 3.68, 4 Nd 3.73, 6 Dy 3.76-3.77
Y 0.5000 0.5000 0.5000  2 Y 3.56, 2 Pr 3.68, 4 Nd 3.73, 6 Dy 3.76-3.77

## Properties
symmetry	No. 51
formation energy from the elements	0.0572	eV per atom

---

[4]
Compound: PrNd2Dy2Y4
Source: Alexandria via LeMat-Bulk
Functional: PBE
Structure: optimized geometry

abc: 9.6123 9.6123 9.6567
angles: 115.24 115.24 21.81
Last column: nearest neighbours and their distance in Å.
Sites, in units of the cell vectors:
Pr 0.0000 0.0000 0.0000  6 Y 3.60-3.61, 2 Pr 3.64, 4 Nd 3.64
Nd 0.3331 0.3331 0.0012  3 Dy 3.59-3.60, 3 Y 3.61, 4 Nd 3.62-3.64, 2 Pr 3.64
Nd 0.6669 0.6669 0.9988  3 Dy 3.59-3.60, 3 Y 3.61, 4 Nd 3.62-3.64, 2 Pr 3.64
Dy 0.1479 0.1479 0.6640  7 Y 3.53-3.64, 3 Nd 3.59-3.60, 2 Dy 3.64
Dy 0.8521 0.8521 0.3360  7 Y 3.53-3.64, 3 Nd 3.59-3.60, 2 Dy 3.64
Y 0.1863 0.1863 0.3362  6 Y 3.53-3.64, 3 Dy 3.54-3.62, 1 Pr 3.60, 2 Nd 3.61
Y 0.4806 0.4806 0.6625  5 Y 3.52-3.64, 4 Dy 3.53-3.64, 1 Nd 3.61, 2 Pr 3.61
Y 0.5194 0.5194 0.3375  5 Y 3.52-3.64, 4 Dy 3.53-3.64, 1 Nd 3.61, 2 Pr 3.61
Y 0.8137 0.8137 0.6638  6 Y 3.53-3.64, 3 Dy 3.54-3.62, 1 Pr 3.60, 2 Nd 3.61

## Properties
symmetry	No. 12
formation energy from the elements	-0.0058	eV per atom

---

[5]
Compound: PrNd6Dy2Y
Source: Alexandria via LeMat-Bulk
Functional: PBE
Structure: optimized geometry

abc: 8.9955 8.9955 9.7573
angles: 93.79 93.79 117.65
Last column: nearest neighbours and their distance in Å.
Sites, in units of the cell vectors:
Pr 0.0274 0.9726 0.7500  4 Dy 3.46-3.49, 4 Nd 3.64-3.72
Pr 0.9726 0.0274 0.2500  4 Dy 3.46-3.49, 4 Nd 3.64-3.72
Nd 0.0119 0.5628 0.6846  3 Nd 3.30-3.66, 1 Dy 3.50, 1 Y 3.51, 1 Pr 3.64
Nd 0.1160 0.7569 0.0547  7 Nd 3.47-3.84, 1 Dy 3.56, 1 Pr 3.72
Nd 0.2431 0.8840 0.4453  7 Nd 3.47-3.84, 1 Dy 3.56, 1 Pr 3.72
Nd 0.2935 0.5111 0.8811  4 Nd 3.30-3.67, 3 Dy 3.33-3.51, 2 Y 3.48-3.61
Nd 0.4372 0.9881 0.8154  3 Nd 3.30-3.66, 1 Dy 3.50, 1 Y 3.51, 1 Pr 3.64
Nd 0.4889 0.7065 0.6189  4 Nd 3.30-3.67, 3 Dy 3.33-3.51, 2 Y 3.48-3.61
Nd 0.5111 0.2935 0.3811  4 Nd 3.30-3.67, 3 Dy 3.33-3.51, 2 Y 3.48-3.61
Nd 0.5628 0.0119 0.1846  3 Nd 3.30-3.66, 1 Dy 3.50, 1 Y 3.51, 1 Pr 3.64
Nd 0.7065 0.4889 0.1189  4 Nd 3.30-3.67, 3 Dy 3.33-3.51, 2 Y 3.48-3.61
Nd 0.7569 0.1160 0.5547  7 Nd 3.47-3.84, 1 Dy 3.56, 1 Pr 3.72
Nd 0.8840 0.2431 0.9453  7 Nd 3.47-3.84, 1 Dy 3.56, 1 Pr 3.72
Nd 0.9881 0.4372 0.3154  3 Nd 3.30-3.66, 1 Dy 3.50, 1 Y 3.51, 1 Pr 3.64
Dy 0.2013 0.3002 0.5465  6 Nd 3.33-3.73, 2 Pr 3.46-3.49, 1 Y 3.57
Dy 0.3002 0.2013 0.0465  6 Nd 3.33-3.73, 2 Pr 3.46-3.49, 1 Y 3.57
Dy 0.6998 0.7987 0.9535  6 Nd 3.33-3.73, 2 Pr 3.46-3.49, 1 Y 3.57
Dy 0.7987 0.6998 0.4535  6 Nd 3.33-3.73, 2 Pr 3.46-3.49, 1 Y 3.57
Y 0.4100 0.5900 0.2500  6 Nd 3.48-3.61, 2 Dy 3.57
Y 0.5900 0.4100 0.7500  6 Nd 3.48-3.61, 2 Dy 3.57

## Properties
symmetry	No. 15
formation energy from the elements	0.1104	eV per atom

---

[6]
Compound: Pr2NdDy2Y2
Source: Alexandria via LeMat-Bulk
Functional: PBE
Structure: optimized geometry

abc: 6.2046 6.2046 11.9428
angles: 107.71 107.71 33.24
Last column: nearest neighbours and their distance in Å.
Sites, in units of the cell vectors:
Pr 0.1726 0.1726 0.0852  5 Pr 3.55-3.96, 4 Y 3.56-3.67, 2 Dy 3.65
Pr 0.8274 0.8274 0.9148  5 Pr 3.55-3.96, 4 Y 3.56-3.67, 2 Dy 3.65
Nd 0.5000 0.5000 0.5000  2 Nd 3.55, 6 Dy 3.56-3.61, 4 Y 3.58
Dy 0.2733 0.2733 0.6359  3 Y 3.54-3.62, 4 Dy 3.55-3.58, 3 Nd 3.56-3.61, 2 Pr 3.65
Dy 0.7267 0.7267 0.3641  3 Y 3.54-3.62, 4 Dy 3.55-3.58, 3 Nd 3.56-3.61, 2 Pr 3.65
Y 0.0486 0.0486 0.7718  3 Dy 3.54-3.62, 2 Y 3.55, 4 Pr 3.56-3.67, 2 Nd 3.58
Y 0.9514 0.9514 0.2282  3 Dy 3.54-3.62, 2 Y 3.55, 4 Pr 3.56-3.67, 2 Nd 3.58

## Properties
symmetry	No. 12
formation energy from the elements	0.0843	eV per atom

---

[7]
Compound: PrNd3DyY
Source: Alexandria via LeMat-Bulk
Functional: PBE
Structure: optimized geometry

abc: 10.7734 10.7734 6.8357
angles: 91.03 91.03 31.58
Last column: nearest neighbours and their distance in Å.
Sites, in units of the cell vectors:
Pr 0.1474 0.1474 0.0252  1 Dy 3.10, 2 Nd 3.25-3.44
Pr 0.8526 0.8526 0.9748  1 Dy 3.10, 2 Nd 3.25-3.44
Nd 0.0181 0.0181 0.7500  1 Dy 3.21, 1 Pr 3.25, 2 Y 3.33, 2 Nd 3.49-3.51
Nd 0.2801 0.2801 0.7310  3 Dy 3.32-3.65, 1 Y 3.35, 3 Pr 3.44-3.68, 1 Nd 3.56
Nd 0.3407 0.3407 0.2466  2 Pr 3.48, 2 Dy 3.50, 4 Nd 3.56-3.86
Nd 0.6593 0.6593 0.7534  2 Pr 3.48, 2 Dy 3.50, 4 Nd 3.56-3.86
Nd 0.7199 0.7199 0.2690  3 Dy 3.32-3.65, 1 Y 3.35, 3 Pr 3.44-3.68, 1 Nd 3.56
Nd 0.9819 0.9819 0.2500  1 Dy 3.21, 1 Pr 3.25, 2 Y 3.33, 2 Nd 3.49-3.51
Dy 0.1422 0.1422 0.4774  1 Pr 3.10, 2 Nd 3.21-3.32
Dy 0.8578 0.8578 0.5226  1 Pr 3.10, 2 Nd 3.21-3.32
Y 0.4419 0.4419 0.7379  3 Nd 3.33-3.35, 2 Dy 3.70
Y 0.5581 0.5581 0.2621  3 Nd 3.33-3.35, 2 Dy 3.70

## Properties
symmetry	No. 12
formation energy from the elements	0.1783	eV per atom

---

[8]
Compound: PrNd5Dy2Y
Source: Alexandria via LeMat-Bulk
Functional: PBE
Structure: optimized geometry

abc: 10.6674 10.6674 10.7797
angles: 90.00 90.00 149.01
Last column: nearest neighbours and their distance in Å.
Sites, in units of the cell vectors:
Pr 0.2024 0.7976 0.5000  2 Dy 3.49-3.76, 8 Nd 3.54-3.90, 2 Y 3.71
Pr 0.7976 0.2024 0.0000  2 Dy 3.49-3.76, 8 Nd 3.54-3.90, 2 Y 3.71
Nd 0.0159 0.9841 0.5127  2 Y 3.31, 3 Dy 3.49-3.64
Nd 0.2802 0.7198 0.7991  1 Y 3.11, 1 Dy 3.37, 2 Nd 3.45
Nd 0.2965 0.7035 0.1945  3 Nd 3.45-3.78, 1 Y 3.53, 3 Pr 3.54-3.82, 3 Dy 3.58-3.83
Nd 0.3921 0.6079 0.5164  5 Nd 3.53-3.82, 4 Dy 3.63-3.65, 1 Pr 3.90
Nd 0.4793 0.5207 0.2333  2 Y 3.25-3.39, 2 Nd 3.53-3.54, 2 Dy 3.55
Nd 0.5207 0.4793 0.7333  2 Y 3.25-3.39, 2 Nd 3.53-3.54, 2 Dy 3.55
Nd 0.6079 0.3921 0.0164  5 Nd 3.53-3.82, 4 Dy 3.63-3.65, 1 Pr 3.90
Nd 0.7035 0.2965 0.6945  3 Nd 3.45-3.78, 1 Y 3.53, 3 Pr 3.54-3.82, 3 Dy 3.58-3.83
Nd 0.7198 0.2802 0.2991  1 Y 3.11, 1 Dy 3.37, 2 Nd 3.45
Nd 0.9841 0.0159 0.0127  2 Y 3.31, 3 Dy 3.49-3.64
Dy 0.1109 0.8891 0.2273  7 Nd 3.49-3.83, 1 Pr 3.49, 2 Y 3.74
Dy 0.1163 0.8837 0.8079  8 Nd 3.37-3.63, 1 Pr 3.76
Dy 0.8837 0.1163 0.3079  8 Nd 3.37-3.63, 1 Pr 3.76
Dy 0.8891 0.1109 0.7273  7 Nd 3.49-3.83, 1 Pr 3.49, 2 Y 3.74
Y 0.4096 0.5904 0.9479  5 Nd 3.11-3.39
Y 0.5904 0.4096 0.4479  5 Nd 3.11-3.39

## Properties
symmetry	No. 36
formation energy from the elements	0.1465	eV per atom